(1)
Material: TbSnSe
Method: DFT, PBE
State: optimized geometry

Summary:
- SG: No. 139

a b c (Å): 4.0914 4.0914 9.6854
angles (deg): 102.19 102.19 90.00
Closest atoms and distances in Å follow each position.
Positions (direct):
Tb (0.6520, 0.6520, 0.3039)  5 Se 2.96-2.97
Se (0.8119, 0.8119, 0.6238)  5 Tb 2.96-2.97
Tb (0.3481, 0.3481, 0.6961)  5 Se 2.96-2.97
Sn (0.0000, 0.5000, 0.0000)  4 Sn 2.89
Se (0.1881, 0.1881, 0.3762)  5 Tb 2.96-2.97
Sn (0.5000, 0.0000, 0.0000)  4 Sn 2.89

***

(2)
Material: Tb6SnTe2Se3
Method: DFT, PBE
State: optimized geometry

Summary:
- SG: No. 12

a b c (Å): 7.3374 7.3374 7.3878
angles (deg): 99.53 99.53 119.90
Closest atoms and distances in Å follow each position.
Positions (direct):
Tb (0.9101, 0.5871, 0.7279)  3 Se 2.88-2.95, 1 Sn 3.03, 2 Te 3.13
Se (0.8296, 0.1704, 0.5000)  6 Tb 2.88-2.95
Tb (0.2308, 0.2308, 0.7271)  3 Se 2.91-2.99, 1 Sn 3.03, 2 Te 3.13
Se (0.5000, 0.5000, 0.5000)  6 Tb 2.89-2.99
Tb (0.0899, 0.4129, 0.2721)  3 Se 2.88-2.95, 1 Sn 3.03, 2 Te 3.13
Tb (0.7692, 0.7692, 0.2729)  3 Se 2.91-2.99, 1 Sn 3.03, 2 Te 3.13
Se (0.1704, 0.8296, 0.5000)  6 Tb 2.88-2.95
Te (0.3338, 0.6662, 0.0000)  6 Tb 3.13
Tb (0.4129, 0.0899, 0.2721)  3 Se 2.88-2.95, 1 Sn 3.03, 2 Te 3.13
Tb (0.5871, 0.9101, 0.7279)  3 Se 2.88-2.95, 1 Sn 3.03, 2 Te 3.13
Te (0.6662, 0.3338, 0.0000)  6 Tb 3.13
Sn (0.0000, 0.0000, 0.0000)  6 Tb 3.03

***

(3)
Material: Tb8Sn3Te4Se
Method: DFT, PBE
State: optimized geometry

Summary:
- SG: No. 166

a b c (Å): 8.7231 8.7586 8.7231
angles (deg): 119.87 120.00 90.00
Closest atoms and distances in Å follow each position.
Positions (direct):
Tb (0.7560, 0.2660, 0.5120)  1 Se 3.02, 2 Sn 3.03, 3 Te 3.15-3.17
Sn (0.5000, 0.5000, 0.0000)  6 Tb 3.03-3.05
Sn (0.5000, 0.5000, 0.5000)  6 Tb 3.03-3.05
Tb (0.2440, 0.7340, 0.4880)  1 Se 3.02, 2 Sn 3.03, 3 Te 3.15-3.17
Tb (0.2536, 0.2607, 0.5072)  3 Sn 3.05, 3 Te 3.14
Se (0.0000, 0.5000, 0.0000)  6 Tb 3.02
Tb (0.7561, 0.2662, 0.0101)  1 Se 3.02, 2 Sn 3.03, 3 Te 3.15-3.17
Te (0.5000, 0.0000, 0.0000)  6 Tb 3.17
Sn (0.0000, 0.5000, 0.5000)  6 Tb 3.03-3.05
Tb (0.2439, 0.7338, 0.9899)  1 Se 3.02, 2 Sn 3.03, 3 Te 3.15-3.17
Tb (0.7461, 0.7338, 0.9899)  1 Se 3.02, 2 Sn 3.03, 3 Te 3.15-3.17
Te (0.0000, 0.0000, 0.5000)  6 Tb 3.14-3.15
Tb (0.2539, 0.2662, 0.0101)  1 Se 3.02, 2 Sn 3.03, 3 Te 3.15-3.17
Tb (0.7464, 0.7393, 0.4928)  3 Sn 3.05, 3 Te 3.14
Te (0.0000, 0.0000, 0.0000)  6 Tb 3.14-3.15
Te (0.5000, 0.0000, 0.5000)  6 Tb 3.14-3.15

***

(4)
Material: Tb8SnTe4Se3
Method: DFT, PBE
State: optimized geometry

Summary:
- SG: No. 166

a b c (Å): 8.5042 8.6372 8.5039
angles (deg): 119.51 120.00 90.00
Closest atoms and distances in Å follow each position.
Positions (direct):
Tb (0.7385, 0.7155, 0.4770)  3 Se 2.89, 3 Te 3.18
Tb (0.2454, 0.7247, 0.4907)  2 Se 2.91, 1 Sn 2.97, 3 Te 3.09-3.16
Se (0.5000, 0.5000, 0.0000)  6 Tb 2.89-2.90
Te (0.0000, 0.0000, 0.0000)  6 Tb 3.16-3.18
Tb (0.2615, 0.2845, 0.5230)  3 Se 2.89, 3 Te 3.18
Se (0.5000, 0.5000, 0.5000)  6 Tb 2.89-2.91
Se (0.0000, 0.5000, 0.5000)  6 Tb 2.89-2.91
Te (0.5000, 0.0000, 0.5000)  6 Tb 3.16-3.18
Tb (0.7339, 0.7245, 0.9792)  2 Se 2.90, 1 Sn 2.97, 3 Te 3.10-3.16
Te (0.0000, 0.0000, 0.5000)  6 Tb 3.16-3.18
Tb (0.7546, 0.2753, 0.5093)  2 Se 2.91, 1 Sn 2.97, 3 Te 3.09-3.16
Tb (0.2454, 0.7245, 0.9792)  2 Se 2.90, 1 Sn 2.97, 3 Te 3.10-3.16
Te (0.5000, 0.0000, 0.0000)  6 Tb 3.09-3.10
Tb (0.2661, 0.2755, 0.0208)  2 Se 2.90, 1 Sn 2.97, 3 Te 3.10-3.16
Sn (0.0000, 0.5000, 0.0000)  6 Tb 2.97
Tb (0.7546, 0.2755, 0.0208)  2 Se 2.90, 1 Sn 2.97, 3 Te 3.10-3.16

***

Calculated values (eV/cell) of DFT total energy for the records, taken in order: -31.4; -66.2; -84.4; -87.1.
Calculated values (eV per atom) of energy relative to the elements, uncorrected for the records, taken in order: -1.202; -1.470; -1.205; -1.442.
Calculated values (g/cm³) of mass density for the records, taken in order: 7.65; 7.98; 7.80; 7.98.